# 1
First-principles (SCAN) data for a PBEsol-optimized structure of Tl2TeRh, as listed in Alexandria.

Structure (POSCAR):
```
Tl2TeRh
1.0
2.4878 -5.4701 0.0000
2.4878 5.4701 0.0000
0.0000 0.0000 4.0745
Tl Te Rh
2 1 1
direct
0.1688 0.8312 0.0000
0.8312 0.1688 0.0000
0.5000 0.5000 0.5000
0.0000 0.0000 0.5000
```

Summary:
- space-group type = No. 65
- relative energy among the computed polymorphs (eV/f.u.) = 0.38
- DOS at the Fermi energy (states/eV per cell) = 1.92
- formation energy without anion corrections (eV/f.u.) = -0.1

=====

# 2
First-principles (SCAN) data for a PBEsol-optimized structure of TlTe2Rh, as listed in Alexandria.

Structure (POSCAR):
```
TlTe2Rh
1.0
5.2812 0.0000 0.0000
0.0000 3.9430 0.0000
-2.5117 0.0000 4.8829
Tl Te Rh
1 2 1
direct
0.0000 0.0000 0.0000
0.3076 0.5000 0.6803
0.6924 0.5000 0.3197
0.5000 0.0000 0.5000
```

Summary:
- space-group type = No. 10
- DOS at the Fermi energy (states/eV per cell) = 1.03
- formation energy without anion corrections (eV/f.u.) = -1.3

=====

Number 1: calculated total energy -53.949 eV/atom. Number 2: calculated total energy -45.481 eV/atom.